1.
The following is a DFT calculation (PBE) of a geometry-optimized Pm4Pr2Sm2Tm structure.

Structure (POSCAR):
```
Pm4Pr2Sm2Tm
1.0
9.516 -1.837 0.000
9.516 1.837 0.000
-4.210 0.000 8.816
Pm Pr Sm Tm
4 2 2 1
Cartesian
-1.045 0.000 2.914
3.185 0.000 5.876
11.637 0.000 2.939
15.867 0.000 5.902
-1.070 0.000 8.808
15.893 0.000 0.008
5.305 0.000 2.946
9.517 0.000 5.870
9.516 0.000 0.000
```

size of the total moment: 0.0 μB per cell
space-group type: C2/m (12)
ΔE_f: 11 meV/atom
total energy: -4.708 eV per atom

---

2.
The following is a DFT calculation (PBE) of a geometry-optimized Ta2Ge2O7 structure.

Structure (POSCAR):
```
Ta2Ge2O7
1.0
1.969 -13.319 0.000
1.969 13.319 0.000
0.000 0.000 5.770
Ta Ge O
4 4 14
Cartesian
1.969 11.866 2.885
1.969 9.027 0.179
1.969 -9.027 3.064
1.969 -11.866 0.000
1.969 5.747 0.510
1.969 1.767 2.510
1.969 -1.767 5.394
1.969 -5.747 3.395
1.969 13.166 1.550
1.969 10.811 4.781
1.969 10.338 1.794
1.969 7.908 4.395
1.969 7.470 1.312
1.969 3.959 2.923
1.969 1.498 0.461
1.969 -1.498 3.345
1.969 -3.959 0.038
1.969 -7.470 4.196
1.969 -7.908 1.510
1.969 -10.338 4.679
1.969 -10.811 1.897
1.969 -13.166 4.435
```

uncorrected formation energy: -2.157 eV/atom
size of the total moment: 0.0 μB per cell
space-group type: Cmc2_1 (36)
total energy: -8.307 eV per atom

---

3.
The following is a DFT calculation (PBE) of a geometry-optimized Na2Zn5Ge3 structure.

Structure (POSCAR):
```
Na2Zn5Ge3
1.0
4.149 0.000 0.000
0.000 4.149 0.000
0.000 0.000 11.532
Na Zn Ge
2 5 3
Cartesian
0.000 2.075 2.712
2.075 0.000 8.820
0.000 0.000 0.000
0.000 0.000 5.766
0.000 2.075 9.950
2.075 0.000 1.582
2.075 2.075 0.000
0.000 2.075 7.396
2.075 0.000 4.136
2.075 2.075 5.766
```

size of the total moment: 0.0 μB per cell
space-group type: P-4m2 (115)
ΔE_f: -4 meV/atom
total energy: -2.290 eV per atom

---

4.
The following is a DFT calculation (PBE) of a geometry-optimized Ba2Na3 structure.

Structure (POSCAR):
```
Ba2Na3
1.0
3.632 -6.570 0.000
3.632 6.570 0.000
0.000 0.000 10.306
Ba Na
4 6
Cartesian
3.632 4.415 9.280
3.632 2.154 4.127
3.632 -2.154 6.179
3.632 -4.415 1.026
0.000 0.000 5.153
1.816 1.224 7.729
1.816 -1.224 2.576
3.632 0.000 0.000
5.449 1.224 7.729
5.449 -1.224 2.576
```

size of the total moment: 0.0 μB per cell
space-group type: Cmce (64)
ΔE_f: 25 meV/atom
total energy: -1.535 eV per atom

---

- The highest total energy belongs to which entry?
  Ba2Na3